Below is a relaxed structure of Ir2SeBr, with properties calculated at the PBE level.

Geometry as POSCAR:
```
Ir2SeBr
1.0
-0.209 1.910 2.346
0.539 -2.291 1.913
8.636 1.592 -0.527
Br Ir Se
1 2 1
direct
0.500 0.500 0.822 Br
0.000 0.000 0.040 Ir
0.500 0.500 0.234 Ir
0.000 0.000 0.405 Se
```

uncorrected formation energy = 0.494 eV/atom
crystal system = tetragonal